TcAuCl3 at its PBEsol-relaxed geometry. Source: Alexandria via LeMat-Bulk, functional meta-GGA SCAN.

The structure in POSCAR format:
```
TcAuCl3
1.0
4.9489 0.0000 0.0000
0.0000 4.9489 0.0000
0.0000 0.0000 4.9489
Au Tc Cl
1 1 3
Cartesian
0.0000 0.0000 0.0000
2.4745 2.4745 2.4745
0.0000 2.4745 0.0000
0.0000 0.0000 2.4745
2.4745 0.0000 0.0000
```

Computed properties:
As for the density of states at the Fermi level: 0.352 states/eV per atom. The total energy comes out at -125.74 eV for the cell shown. As for the crystal system: cubic.